# 1
# ScCo5B3

A relaxed structure of ScCo5B3 (PBE, the Alexandria database).

Properties
The value obtained for the formation energy from the elements is -2.17 eV per formula unit. Its total magnetization is 0.004 μB/atom. The calculation puts the density of states at the Fermi level at 7.98 states/eV/f.u.

a b c (Å): 3.3957 5.6109 10.1826
angles (deg): 90.00 90.00 107.61
With the nearest neighbours (Å) after each atom.
Fractional coordinates of all 18 atoms:
Sc 0.8353 0.6706 0.7500  6 B 2.70-2.74, 4 Co 2.88
Sc 0.1647 0.3294 0.2500  6 B 2.70-2.74, 4 Co 2.88
Co 0.7955 0.5910 0.4320  2 B 1.96-2.00
Co 0.2045 0.4090 0.9320  2 B 1.96-2.00
Co 0.0000 0.0000 0.5000  4 B 2.15, 6 Co 2.29-2.33
Co 0.0000 0.0000 0.0000  4 B 2.15, 6 Co 2.29-2.33
Co 0.4416 0.8832 0.1446  4 B 2.07-2.17, 1 Co 2.15
Co 0.5584 0.1168 0.8554  4 B 2.07-2.17, 1 Co 2.15
Co 0.5584 0.1168 0.6446  4 B 2.07-2.17, 1 Co 2.15
Co 0.7955 0.5910 0.0680  2 B 1.96-2.00
Co 0.2045 0.4090 0.5680  2 B 1.96-2.00
Co 0.4416 0.8832 0.3554  4 B 2.07-2.17, 1 Co 2.15
B 0.3869 0.7738 0.9494  5 Co 1.96-2.15
B 0.8657 0.7314 0.2500  6 Co 2.00-2.17
B 0.3869 0.7738 0.5506  5 Co 1.96-2.15
B 0.6131 0.2262 0.4494  5 Co 1.96-2.15
B 0.1343 0.2686 0.7500  6 Co 2.00-2.17
B 0.6131 0.2262 0.0506  5 Co 1.96-2.15

# 2
# ScCoB

A relaxed structure of ScCoB (PBE, the Alexandria database).

Properties
The value obtained for the formation energy from the elements is -1.26 eV per formula unit. Its total magnetization is 0.000 μB/atom. For the energy above the most stable polymorph in this dataset, the calculation gives 0 meV/atom. The calculation puts the density of states at the Fermi level at 2.59 states/eV/f.u.

a b c (Å): 3.0958 5.3395 4.5028
angles (deg): 100.15 90.00 90.00
With the nearest neighbours (Å) after each atom.
Fractional coordinates of all 6 atoms:
Co 0.2500 0.7992 0.4432  3 B 2.02-2.08
Co 0.7500 0.2008 0.5568  3 B 2.02-2.08
B 0.2500 0.4645 0.5958  2 B 1.84, 1 Co 2.02
B 0.7500 0.5355 0.4042  2 B 1.84, 1 Co 2.02
Sc 0.2500 0.2569 0.0531  4 B 2.50-2.51, 2 Co 2.69
Sc 0.7500 0.7431 0.9469  4 B 2.50-2.51, 2 Co 2.69

# 3
# ScCo3B2

A relaxed structure of ScCo3B2 (PBE, the Alexandria database).

Properties
The value obtained for the formation energy from the elements is -3.26 eV per formula unit. Its total magnetization is 0.000 μB/atom. For the energy above the most stable polymorph in this dataset, the calculation gives 0 meV/atom. The calculation puts the density of states at the Fermi level at 3.43 states/eV/f.u.

a b c (Å): 4.8989 4.8989 2.9616
angles (deg): 90.00 90.00 120.00
With the nearest neighbours (Å) after each atom.
Fractional coordinates of all 6 atoms:
Sc 0.0000 0.0000 0.0000  6 B 2.83, 12 Co 2.86, 2 Sc 2.96
Co 0.5000 0.0000 0.5000  4 B 2.05
Co 0.0000 0.5000 0.5000  4 B 2.05
Co 0.5000 0.5000 0.5000  4 B 2.05
B 0.3333 0.6667 0.0000  6 Co 2.05
B 0.6667 0.3333 0.0000  6 Co 2.05

# 4
# ScCoB3

A relaxed structure of ScCoB3 (PBE, the Alexandria database).

Properties
The value obtained for the formation energy from the elements is 12.02 eV per formula unit. Its total magnetization is 0.000 μB/atom. For the energy above the most stable polymorph in this dataset, the calculation gives 2979 meV/atom. The calculation puts the density of states at the Fermi level at 4.79 states/eV/f.u.

a b c (Å): 4.1384 4.1384 4.1384
angles (deg): 90.00 90.00 90.00
With the nearest neighbours (Å) after each atom.
Fractional coordinates of all 5 atoms:
Sc 0.0000 0.0000 0.0000  6 B 2.07
B 0.0000 0.5000 0.0000  2 Sc 2.07
B 0.0000 0.0000 0.5000  2 Sc 2.07
B 0.5000 0.0000 0.0000  2 Sc 2.07
Co 0.5000 0.5000 0.5000  12 B 2.93

# 5
# ScCo7B5

A relaxed structure of ScCo7B5 (PBE, the Alexandria database).

Properties
The value obtained for the formation energy from the elements is -2.02 eV per formula unit. Its total magnetization is 0.104 μB/atom. The calculation puts the density of states at the Fermi level at 11.13 states/eV/f.u.

a b c (Å): 4.4297 5.6051 5.6051
angles (deg): 81.74 66.72 66.72
With the nearest neighbours (Å) after each atom.
Fractional coordinates of all 13 atoms:
Sc 0.0100 0.9900 0.9900  8 Co 2.43-2.69, 6 B 2.67-2.71
Co 0.6731 0.3269 0.3269  5 Co 2.31-2.40, 4 B 2.32, 1 Sc 2.43
Co 0.3520 0.6480 0.6480  6 B 2.17-2.39, 1 Co 2.32
Co 0.9623 0.3771 0.6983  3 B 2.07-2.11
Co 0.9623 0.6983 0.3771  3 B 2.07-2.11
Co 0.2634 0.2366 0.2366  4 B 2.07, 2 Co 2.31
Co 0.5275 0.7658 0.1792  5 B 2.08-2.24
Co 0.5275 0.1792 0.7658  5 B 2.08-2.24
B 0.4576 0.9993 0.5028  1 B 1.85, 1 Co 2.07
B 0.0403 0.9993 0.5028  1 B 1.85, 1 Co 2.07
B 0.4576 0.5028 0.9993  1 B 1.85, 1 Co 2.07
B 0.0403 0.5028 0.9993  1 B 1.85, 1 Co 2.07
B 0.7261 0.7739 0.7739  4 Co 2.07-2.09, 4 B 2.24

# 6
# Sc3CoB7

A relaxed structure of Sc3CoB7 (PBE, the Alexandria database).

Properties
The value obtained for the formation energy from the elements is -8.19 eV per formula unit. Its total magnetization is 0.000 μB/atom. The calculation puts the density of states at the Fermi level at 3.50 states/eV/f.u.

a b c (Å): 3.2262 7.6013 8.9551
angles (deg): 90.00 90.00 102.25
With the nearest neighbours (Å) after each atom.
Fractional coordinates of all 22 atoms:
Sc 0.1066 0.2133 0.4426  11 B 2.47-2.55
Sc 0.8934 0.7867 0.5574  11 B 2.47-2.55
Sc 0.2467 0.4934 0.7500  10 B 2.51-2.56
Sc 0.7533 0.5066 0.2500  10 B 2.51-2.56
Sc 0.1066 0.2133 0.0574  11 B 2.47-2.55
Sc 0.8934 0.7867 0.9426  11 B 2.47-2.55
Co 0.9490 0.8981 0.2500  10 B 2.18-2.22
Co 0.0510 0.1019 0.7500  10 B 2.18-2.22
B 0.4481 0.8963 0.7500  2 B 1.73
B 0.5519 0.1037 0.2500  2 B 1.73
B 0.4822 0.9644 0.4043  3 B 1.73-1.79
B 0.5178 0.0356 0.5957  3 B 1.73-1.79
B 0.5178 0.0356 0.9043  3 B 1.73-1.79
B 0.4822 0.9644 0.0957  3 B 1.73-1.79
B 0.3683 0.7366 0.3481  3 B 1.76-1.79
B 0.6317 0.2634 0.6519  3 B 1.76-1.79
B 0.2720 0.5440 0.4675  3 B 1.79-1.84
B 0.7280 0.4560 0.5325  3 B 1.79-1.84
B 0.7280 0.4560 0.9675  3 B 1.79-1.84
B 0.2720 0.5440 0.0325  3 B 1.79-1.84
B 0.3683 0.7366 0.1519  3 B 1.76-1.79
B 0.6317 0.2634 0.8481  3 B 1.76-1.79

# 7
# ScCo4B2

A relaxed structure of ScCo4B2 (PBE, the Alexandria database).

Properties
The value obtained for the formation energy from the elements is -0.31 eV per formula unit. Its total magnetization is 0.538 μB/atom. The calculation puts the density of states at the Fermi level at 7.21 states/eV/f.u.

a b c (Å): 4.6939 4.4623 4.6939
angles (deg): 118.43 117.37 61.57
With the nearest neighbours (Å) after each atom.
Fractional coordinates of all 7 atoms:
Sc 0.0000 0.0000 0.0000  12 Co 2.50-2.78, 4 B 2.60
Co 0.5840 0.6764 0.9367  2 B 2.18, 3 Co 2.34-2.44
Co 0.4160 0.3236 0.0633  2 B 2.18, 3 Co 2.34-2.44
Co 0.9367 0.3236 0.5840  2 B 2.18, 3 Co 2.34-2.44
Co 0.0633 0.6764 0.4160  2 B 2.18, 3 Co 2.34-2.44
B 0.4992 0.7976 0.5008  1 B 1.81
B 0.5008 0.2024 0.4992  1 B 1.81

# 8
# Sc2Co3B

A relaxed structure of Sc2Co3B (PBE, the Alexandria database).

Properties
The value obtained for the formation energy from the elements is -0.23 eV per formula unit. Its total magnetization is 0.214 μB/atom. The calculation puts the density of states at the Fermi level at 4.58 states/eV/f.u.

a b c (Å): 2.9716 4.4864 6.6790
angles (deg): 109.62 102.85 90.00
With the nearest neighbours (Å) after each atom.
Fractional coordinates of all 6 atoms:
Sc 0.6859 0.1859 0.3718  4 Co 2.45-2.72
Sc 0.3141 0.8141 0.6282  4 Co 2.45-2.72
Co 0.3957 0.3957 0.7914  2 B 1.96
Co 0.0000 0.0000 0.0000  2 B 2.24
Co 0.6043 0.6043 0.2086  2 B 1.96
B 0.0000 0.5000 0.0000  4 Co 1.96

# 9
# ScCo5B2

A relaxed structure of ScCo5B2 (PBE, the Alexandria database).

Properties
The value obtained for the formation energy from the elements is -2.35 eV per formula unit. Its total magnetization is 0.482 μB/atom. The calculation puts the density of states at the Fermi level at 9.68 states/eV/f.u.

a b c (Å): 3.3497 5.3945 5.3945
angles (deg): 69.66 71.91 71.91
With the nearest neighbours (Å) after each atom.
Fractional coordinates of all 8 atoms:
Sc 0.0000 0.0000 0.0000  4 B 2.68, 8 Co 2.83
Co 0.0000 0.5000 0.5000  2 B 2.01
Co 0.6546 0.5376 0.1533  3 B 2.07-2.18
Co 0.3454 0.4624 0.8467  3 B 2.07-2.18
Co 0.3454 0.8467 0.4624  3 B 2.07-2.18
Co 0.6546 0.1533 0.5376  3 B 2.07-2.18
B 0.7551 0.7449 0.7449  7 Co 2.01-2.18
B 0.2449 0.2551 0.2551  7 Co 2.01-2.18

# 10
# Sc2CoB

A relaxed structure of Sc2CoB (PBE, the Alexandria database).

Properties
The value obtained for the formation energy from the elements is 1.45 eV per formula unit. Its total magnetization is 0.033 μB/atom. The calculation puts the density of states at the Fermi level at 4.14 states/eV/f.u.

a b c (Å): 6.5401 6.5401 5.5110
angles (deg): 53.60 53.60 90.00
With the nearest neighbours (Å) after each atom.
Fractional coordinates of all 8 atoms:
Sc 0.6075 0.1250 0.2500  2 B 2.36, 2 Co 2.51
Sc 0.1425 0.6250 0.2500  2 B 2.36, 2 Co 2.51
Sc 0.3750 0.3925 0.7500  2 B 2.36, 2 Co 2.51
Sc 0.8750 0.8575 0.7500  2 B 2.36, 2 Co 2.51
B 0.5000 0.5000 0.0000  4 Sc 2.36
B 0.2500 0.7500 0.5000  4 Sc 2.36
Co 0.0000 0.0000 0.0000  4 Sc 2.51
Co 0.7500 0.2500 0.5000  4 Sc 2.51

# 11
# ScCoB

A relaxed structure of ScCoB (PBE, the Alexandria database).

Properties
The value obtained for the formation energy from the elements is -1.24 eV per formula unit. Its total magnetization is 0.000 μB/atom. For the energy above the most stable polymorph in this dataset, the calculation gives 4 meV/atom. The calculation puts the density of states at the Fermi level at 1.89 states/eV/f.u.

a b c (Å): 3.6650 3.4576 3.4576
angles (deg): 120.00 90.00 90.00
With the nearest neighbours (Å) after each atom.
Fractional coordinates of all 3 atoms:
Sc 0.6666 0.3333 0.6667  6 B 2.71, 6 Co 2.71
B 0.1668 0.6667 0.3333  3 Co 2.00
Co 0.1666 0.0000 0.0000  3 B 2.00

# 12
# Sc3Co2B9

A relaxed structure of Sc3Co2B9 (PBE, the Alexandria database).

Properties
The value obtained for the formation energy from the elements is -5.52 eV per formula unit. Its total magnetization is 0.000 μB/atom. The calculation puts the density of states at the Fermi level at 3.69 states/eV/f.u.

a b c (Å): 3.1705 6.6557 6.6557
angles (deg): 67.66 76.22 76.22
With the nearest neighbours (Å) after each atom.
Fractional coordinates of all 14 atoms:
Sc 0.0000 0.0000 0.0000  12 B 2.45-2.53
Sc 0.7057 0.2943 0.2943  10 B 2.40-2.50, 2 Co 2.57
Sc 0.2943 0.7057 0.7057  10 B 2.40-2.50, 2 Co 2.57
Co 0.5000 0.3152 0.6848  8 B 2.09-2.23
Co 0.5000 0.6848 0.3152  8 B 2.09-2.23
B 0.0000 0.5000 0.5000  4 Co 2.09, 4 B 2.34
B 0.6574 0.9856 0.6996  2 B 1.81
B 0.3426 0.0144 0.3004  2 B 1.81
B 0.6574 0.6996 0.9856  2 B 1.81
B 0.3426 0.3004 0.0144  2 B 1.81
B 0.8566 0.8840 0.4029  2 B 1.81
B 0.1434 0.1160 0.5971  2 B 1.81
B 0.8566 0.4029 0.8840  2 B 1.81
B 0.1434 0.5971 0.1160  2 B 1.81

- What is the formula in the ninth record?
  ScCo5B2